## Pm3Pr3Ho (PBE)

Data for crystalline Pm3Pr3Ho at its relaxed geometry.

```
data_Pm3Pr3Ho
_symmetry_space_group_name_H-M 'R -3'
_symmetry_Int_Tables_number 148
_symmetry_space_group_name_Hall '-R 3'
_cell_length_a 8.8103
_cell_length_b 8.8103
_cell_length_c 22.3498
_cell_angle_alpha 90.00
_cell_angle_beta 90.00
_cell_angle_gamma 120.00
loop_
_atom_site_label
_atom_site_type_symbol
_atom_site_fract_x
_atom_site_fract_y
_atom_site_fract_z
Pm1 Pm 0.0503 0.4484 0.3807
Pr1 Pr 0.0042 0.2422 0.5585
Ho1 Ho 0.0000 0.0000 0.1548
```

**Polymorph energy (0 for the lowest one)**: 195 meV/atom

***

## Pm7PrHo12 (PBE)

Data for crystalline Pm7PrHo12 at its relaxed geometry.

```
data_Pm7PrHo12
_symmetry_space_group_name_H-M 'I m -3 m'
_symmetry_Int_Tables_number 229
_symmetry_space_group_name_Hall '-I 4 2 3'
_cell_length_a 11.2850
_cell_length_b 11.2850
_cell_length_c 11.2850
_cell_angle_alpha 90.00
_cell_angle_beta 90.00
_cell_angle_gamma 90.00
loop_
_atom_site_label
_atom_site_type_symbol
_atom_site_fract_x
_atom_site_fract_y
_atom_site_fract_z
Pm1 Pm 0.0000 0.0000 0.5000
Pm2 Pm 0.2500 0.2500 0.2500
Pr1 Pr 0.0000 0.0000 0.0000
Ho1 Ho 0.0000 0.2514 0.2514
```

**Polymorph energy (0 for the lowest one)**: 353 meV/atom

***

## Pm6Pr12Ho (PBE)

Data for crystalline Pm6Pr12Ho at its relaxed geometry.

```
data_Pm6Pr12Ho
_symmetry_space_group_name_H-M 'R -3 m'
_symmetry_Int_Tables_number 166
_symmetry_space_group_name_Hall '-R 3 2"'
_cell_length_a 13.4732
_cell_length_b 13.4732
_cell_length_c 13.2300
_cell_angle_alpha 90.00
_cell_angle_beta 90.00
_cell_angle_gamma 120.00
loop_
_atom_site_label
_atom_site_type_symbol
_atom_site_fract_x
_atom_site_fract_y
_atom_site_fract_z
Pm1 Pm 0.0892 0.1784 0.2723
Pr1 Pr 0.0000 0.2623 0.5000
Pr2 Pr 0.0578 0.5289 0.6121
Ho1 Ho 0.0000 0.0000 0.5000
```

**Polymorph energy (0 for the lowest one)**: 0 meV/atom

***

## Pm3Pr4Ho4 (PBE)

Data for crystalline Pm3Pr4Ho4 at its relaxed geometry.

```
data_Pm3Pr4Ho4
_symmetry_space_group_name_H-M 'P -1'
_symmetry_Int_Tables_number 2
_symmetry_space_group_name_Hall '-P 1'
_cell_length_a 3.6349
_cell_length_b 5.1195
_cell_length_c 20.1910
_cell_angle_alpha 82.74
_cell_angle_beta 84.84
_cell_angle_gamma 89.98
loop_
_atom_site_label
_atom_site_type_symbol
_atom_site_fract_x
_atom_site_fract_y
_atom_site_fract_z
Pm1 Pm 0.0000 0.0000 0.0000
Pm2 Pm 0.3635 0.3636 0.2733
Pr1 Pr 0.1826 0.1826 0.6342
Pr2 Pr 0.4538 0.4539 0.0926
Ho1 Ho 0.0919 0.0915 0.8163
Ho2 Ho 0.2720 0.2720 0.4562
```

**Polymorph energy (0 for the lowest one)**: 0 meV/atom

***

## Pm2Pr8Ho3 (PBE)

Data for crystalline Pm2Pr8Ho3 at its relaxed geometry.

```
data_Pm2Pr8Ho3
_symmetry_space_group_name_H-M 'C m m m'
_symmetry_Int_Tables_number 65
_symmetry_space_group_name_Hall '-C 2 2'
_cell_length_a 7.7565
_cell_length_b 20.7730
_cell_length_c 5.7672
_cell_angle_alpha 90.00
_cell_angle_beta 90.00
_cell_angle_gamma 90.00
loop_
_atom_site_label
_atom_site_type_symbol
_atom_site_fract_x
_atom_site_fract_y
_atom_site_fract_z
Pm1 Pm 0.0000 0.2397 0.0000
Pr1 Pr 0.0000 0.1298 0.5000
Pr2 Pr 0.0000 0.3278 0.5000
Pr3 Pr 0.2040 0.3961 0.0000
Ho1 Ho 0.0000 0.0000 0.0000
Ho2 Ho 0.2154 0.5000 0.5000
```

**Polymorph energy (0 for the lowest one)**: 38 meV/atom

***

## Pm3Pr2Ho4 (PBE)

Data for crystalline Pm3Pr2Ho4 at its relaxed geometry.

```
data_Pm3Pr2Ho4
_symmetry_space_group_name_H-M 'C 1 2/m 1'
_symmetry_Int_Tables_number 12
_symmetry_space_group_name_Hall '-C 2y'
_cell_length_a 15.3346
_cell_length_b 5.1004
_cell_length_c 8.0561
_cell_angle_alpha 90.00
_cell_angle_beta 108.43
_cell_angle_gamma 90.00
loop_
_atom_site_label
_atom_site_type_symbol
_atom_site_fract_x
_atom_site_fract_y
_atom_site_fract_z
Pm1 Pm 0.0000 0.0000 0.0000
Pm2 Pm 0.1109 0.0000 0.6636
Pr1 Pr 0.1661 0.5000 0.0007
Ho1 Ho 0.0571 0.5000 0.3364
Ho2 Ho 0.2219 0.0000 0.3367
```

**Polymorph energy (0 for the lowest one)**: 0 meV/atom

***

## PmPr3Ho3 (PBE)

Data for crystalline PmPr3Ho3 at its relaxed geometry.

```
data_PmPr3Ho3
_symmetry_space_group_name_H-M 'R -3'
_symmetry_Int_Tables_number 148
_symmetry_space_group_name_Hall '-R 3'
_cell_length_a 9.4452
_cell_length_b 9.4452
_cell_length_c 18.7909
_cell_angle_alpha 90.00
_cell_angle_beta 90.00
_cell_angle_gamma 120.00
loop_
_atom_site_label
_atom_site_type_symbol
_atom_site_fract_x
_atom_site_fract_y
_atom_site_fract_z
Pm1 Pm 0.0000 0.0000 0.0913
Pr1 Pr 0.0499 0.8081 0.5772
Ho1 Ho 0.0491 0.8134 0.7600
```

**Polymorph energy (0 for the lowest one)**: 99 meV/atom

***

## PmPr6Ho5 (PBE)

Data for crystalline PmPr6Ho5 at its relaxed geometry.

```
data_PmPr6Ho5
_symmetry_space_group_name_H-M 'I m m m'
_symmetry_Int_Tables_number 71
_symmetry_space_group_name_Hall '-I 2 2'
_cell_length_a 5.1687
_cell_length_b 10.1611
_cell_length_c 15.4434
_cell_angle_alpha 90.00
_cell_angle_beta 90.00
_cell_angle_gamma 90.00
loop_
_atom_site_label
_atom_site_type_symbol
_atom_site_fract_x
_atom_site_fract_y
_atom_site_fract_z
Pm1 Pm 0.0000 0.0000 0.0000
Pr1 Pr 0.0000 0.2482 0.5000
Pr2 Pr 0.0000 0.2510 0.1669
Ho1 Ho 0.0000 0.0000 0.3331
Ho2 Ho 0.0000 0.5000 0.0000
Ho3 Ho 0.0000 0.5000 0.3327
```

***

## Pm4Pr2Ho (PBE)

Data for crystalline Pm4Pr2Ho at its relaxed geometry.

```
data_Pm4Pr2Ho
_symmetry_space_group_name_H-M 'R -3 m'
_symmetry_Int_Tables_number 166
_symmetry_space_group_name_Hall '-R 3 2"'
_cell_length_a 3.6510
_cell_length_b 3.6510
_cell_length_c 62.5018
_cell_angle_alpha 90.00
_cell_angle_beta 90.00
_cell_angle_gamma 120.00
loop_
_atom_site_label
_atom_site_type_symbol
_atom_site_fract_x
_atom_site_fract_y
_atom_site_fract_z
Pm1 Pm 0.0000 0.0000 0.1430
Pm2 Pm 0.0000 0.0000 0.2870
Pr1 Pr 0.0000 0.0000 0.4280
Ho1 Ho 0.0000 0.0000 0.0000
```

**Polymorph energy (0 for the lowest one)**: 0 meV/atom

***

## PmPrHo2 (PBE)

Data for crystalline PmPrHo2 at its relaxed geometry.

```
data_PmPrHo2
_symmetry_space_group_name_H-M 'P 1 21/m 1'
_symmetry_Int_Tables_number 11
_symmetry_space_group_name_Hall '-P 2yb'
_cell_length_a 7.1648
_cell_length_b 3.6049
_cell_length_c 10.1942
_cell_angle_alpha 90.00
_cell_angle_beta 90.71
_cell_angle_gamma 90.00
loop_
_atom_site_label
_atom_site_type_symbol
_atom_site_fract_x
_atom_site_fract_y
_atom_site_fract_z
Pm1 Pm 0.1239 0.2500 0.3760
Pr1 Pr 0.3739 0.7500 0.1260
Ho1 Ho 0.1244 0.2500 0.8742
Ho2 Ho 0.3744 0.7500 0.6242
```

**Polymorph energy (0 for the lowest one)**: 0 meV/atom

***

## Pm5Pr3Ho3 (PBE)

Data for crystalline Pm5Pr3Ho3 at its relaxed geometry.

```
data_Pm5Pr3Ho3
_symmetry_space_group_name_H-M 'P -6 2 m'
_symmetry_Int_Tables_number 189
_symmetry_space_group_name_Hall 'P -6 -2'
_cell_length_a 11.3994
_cell_length_b 11.3994
_cell_length_c 3.4681
_cell_angle_alpha 90.00
_cell_angle_beta 90.00
_cell_angle_gamma 120.00
loop_
_atom_site_label
_atom_site_type_symbol
_atom_site_fract_x
_atom_site_fract_y
_atom_site_fract_z
Pm1 Pm 0.0000 0.6633 0.0000
Pm2 Pm 0.3333 0.6667 0.0000
Pr1 Pr 0.0000 0.4027 0.5000
Ho1 Ho 0.0000 0.1584 0.0000
```

**Polymorph energy (0 for the lowest one)**: 0 meV/atom

***

## Pm4PrHo4 (PBE)

Data for crystalline Pm4PrHo4 at its relaxed geometry.

```
data_Pm4PrHo4
_symmetry_space_group_name_H-M 'P -1'
_symmetry_Int_Tables_number 2
_symmetry_space_group_name_Hall '-P 1'
_cell_length_a 6.2330
_cell_length_b 9.5330
_cell_length_c 10.7999
_cell_angle_alpha 100.84
_cell_angle_beta 106.72
_cell_angle_gamma 96.26
loop_
_atom_site_label
_atom_site_type_symbol
_atom_site_fract_x
_atom_site_fract_y
_atom_site_fract_z
Pm1 Pm 0.2481 0.0827 0.4713
Pm2 Pm 0.2491 0.4156 0.3595
Pm3 Pm 0.2497 0.7508 0.2487
Pm4 Pm 0.2512 0.7524 0.9176
Pr1 Pr 0.2504 0.4160 0.6962
Ho1 Ho 0.2482 0.4155 0.0273
Ho2 Ho 0.2495 0.0833 0.1373
Ho3 Ho 0.2503 0.0814 0.8077
Ho4 Ho 0.2538 0.7526 0.5854
```

***

ΔE_f in eV per atom, matching the order above: 0.223, 0.641, 0.118, 0.017, 0.195, 0.020, 0.128, 0.017, 0.013, 0.014, 0.324, 0.017